(1)
SmYCuAg: relaxed, PBE-GGA.

POSCAR file:
```
SmYCuAg
1.0
0.000 3.610 3.610
3.610 0.000 3.610
3.610 3.610 0.000
Sm Y Cu Ag
1 1 1 1
Direct
0.000 0.000 0.000
0.500 0.500 0.500
0.750 0.750 0.750
0.250 0.250 0.250
```

## Properties
The value obtained for the calculated total energy is -4.766 eV/atom. The calculation puts the formation energy at -0.234 eV per atom. The value obtained for the density of states at the Fermi level is 3.10 states/eV per cell. The calculation puts the volume at 23.52 Å³ per atom. As for the space group: F-43m (216).

(2)
SmYCuAg: relaxed, PBE-GGA.

POSCAR file:
```
SmYCuAg
1.0
3.586 0.000 0.000
0.000 3.586 0.000
0.000 0.000 7.246
Sm Y Cu Ag
1 1 1 1
Direct
0.000 0.000 0.000
0.000 0.000 0.473
0.500 0.500 0.245
0.500 0.500 0.727
```

## Properties
The value obtained for the calculated total energy is -4.789 eV/atom. The calculation puts the formation energy at -0.256 eV per atom. The value obtained for the density of states at the Fermi level is 2.37 states/eV per cell. The calculation puts the volume at 23.30 Å³ per atom. As for the space group: P4mm (99).

(3)
SmZn3CuAg: relaxed, PBE-GGA.

POSCAR file:
```
SmZn3CuAg
1.0
3.183 -6.374 0.000
3.183 6.374 0.000
0.000 0.000 5.633
Sm Zn Cu Ag
2 6 2 2
Direct
0.205 0.795 0.750
0.795 0.205 0.250
0.193 0.193 0.000
0.193 0.193 0.500
0.351 0.649 0.250
0.649 0.351 0.750
0.807 0.807 0.000
0.807 0.807 0.500
0.146 0.854 0.250
0.854 0.146 0.750
0.428 0.572 0.750
0.572 0.428 0.250
```

## Properties
The value obtained for the calculated total energy is -2.630 eV/atom. The calculation puts the formation energy at -0.049 eV per atom. The value obtained for the density of states at the Fermi level is 4.95 states/eV per cell. The calculation puts the volume at 19.05 Å³ per atom. As for the space group: Cmcm (63).

(4)
SmZn5Cu2Ag: relaxed, PBE-GGA.

POSCAR file:
```
SmZn5Cu2Ag
1.0
4.677 0.000 0.000
0.000 4.677 0.000
0.000 0.000 7.171
Sm Zn Cu Ag
1 5 2 1
Direct
0.000 0.000 0.000
0.000 0.500 0.283
0.000 0.500 0.717
0.500 0.000 0.283
0.500 0.000 0.717
0.500 0.500 0.000
0.500 0.500 0.336
0.500 0.500 0.664
0.000 0.000 0.500
```

## Properties
The value obtained for the calculated total energy is -2.501 eV/atom. The calculation puts the formation energy at -0.042 eV per atom. The value obtained for the density of states at the Fermi level is 2.15 states/eV per cell. The calculation puts the volume at 17.43 Å³ per atom. As for the space group: P4/mmm (123).

(5)
Sm2Zn2Cu5Ag: relaxed, PBE-GGA.

POSCAR file:
```
Sm2Zn2Cu5Ag
1.0
9.739 0.000 0.000
0.000 9.739 0.000
0.000 0.000 3.689
Sm Zn Cu Ag
4 4 10 2
Direct
0.180 0.320 0.000
0.320 0.820 0.000
0.680 0.180 0.000
0.820 0.680 0.000
0.117 0.617 0.000
0.383 0.117 0.000
0.617 0.883 0.000
0.883 0.383 0.000
0.000 0.500 0.500
0.050 0.795 0.500
0.205 0.050 0.500
0.295 0.550 0.500
0.450 0.295 0.500
0.500 0.000 0.500
0.550 0.705 0.500
0.705 0.450 0.500
0.795 0.950 0.500
0.950 0.205 0.500
0.000 0.000 0.000
0.500 0.500 0.000
```

## Properties
The value obtained for the calculated total energy is -3.574 eV/atom. The calculation puts the formation energy at -0.042 eV per atom. The value obtained for the density of states at the Fermi level is 17.40 states/eV per cell. The calculation puts the volume at 17.49 Å³ per atom. As for the space group: P4/mbm (127).

(6)
Sm2Zn3Cu12Ag: relaxed, PBE-GGA.

POSCAR file:
```
Sm2Zn3Cu12Ag
1.0
3.170 1.830 8.858
-3.170 1.830 8.858
0.000 -3.660 8.858
Sm Zn Cu Ag
2 3 12 1
Direct
0.141 0.141 0.141
0.859 0.859 0.859
0.000 0.500 0.500
0.500 0.000 0.500
0.500 0.500 0.000
0.050 0.624 0.624
0.083 0.083 0.704
0.083 0.704 0.083
0.296 0.917 0.917
0.376 0.376 0.950
0.376 0.950 0.376
0.624 0.050 0.624
0.624 0.624 0.050
0.704 0.083 0.083
0.917 0.296 0.917
0.917 0.917 0.296
0.950 0.376 0.376
0.500 0.500 0.500
```

## Properties
The value obtained for the calculated total energy is -3.495 eV/atom. The calculation puts the formation energy at 0.131 eV per atom. The value obtained for the density of states at the Fermi level is 8.56 states/eV per cell. The calculation puts the volume at 17.13 Å³ per atom. As for the space group: R-3m (166).

(7)
SmZrCuAg: relaxed, PBE-GGA.

POSCAR file:
```
SmZrCuAg
1.0
0.000 3.508 3.508
3.508 0.000 3.508
3.508 3.508 0.000
Sm Zr Cu Ag
1 1 1 1
Direct
0.000 0.000 0.000
0.500 0.500 0.500
0.250 0.250 0.250
0.750 0.750 0.750
```

## Properties
The value obtained for the calculated total energy is -5.078 eV/atom. The calculation puts the formation energy at -0.024 eV per atom. The value obtained for the density of states at the Fermi level is 4.24 states/eV per cell. The calculation puts the volume at 21.58 Å³ per atom. As for the space group: F-43m (216).

(8)
Cu2AgSn2: relaxed, PBE-GGA.

POSCAR file:
```
Cu2AgSn2
1.0
6.950 0.000 0.000
0.000 6.950 0.000
0.000 0.000 3.916
Cu Ag Sn
4 2 4
Direct
0.128 0.372 0.000
0.372 0.872 0.000
0.628 0.128 0.000
0.872 0.628 0.000
0.000 0.000 0.000
0.500 0.500 0.000
0.171 0.671 0.500
0.329 0.171 0.500
0.671 0.829 0.500
0.829 0.329 0.500
```

## Properties
The value obtained for the calculated total energy is -3.718 eV/atom. The calculation puts the formation energy at 0.091 eV per atom. The value obtained for the density of states at the Fermi level is 3.89 states/eV per cell. The calculation puts the volume at 18.92 Å³ per atom. As for the space group: P4/mbm (127).

(9)
Cu2AgSn2: relaxed, PBE-GGA.

POSCAR file:
```
Cu2AgSn2
1.0
-1.717 1.717 8.316
1.717 -1.717 8.316
1.717 1.717 -8.316
Cu Ag Sn
2 1 2
Direct
0.250 0.750 0.500
0.750 0.250 0.500
0.000 0.000 0.000
0.384 0.384 0.000
0.616 0.616 0.000
```

## Properties
The value obtained for the calculated total energy is -3.671 eV/atom. The calculation puts the formation energy at 0.138 eV per atom. The value obtained for the density of states at the Fermi level is 2.00 states/eV per cell. The calculation puts the volume at 19.61 Å³ per atom. As for the space group: I4/mmm (139).

(10)
CuAgSn: relaxed, PBE-GGA.

POSCAR file:
```
CuAgSn
1.0
3.071 0.000 0.000
0.011 6.060 0.000
1.335 3.012 6.092
Cu Ag Sn
2 2 2
Direct
0.001 0.222 0.499
0.999 0.778 0.501
0.389 0.375 0.749
0.611 0.625 0.251
0.349 0.842 0.818
0.651 0.158 0.182
```

## Properties
The value obtained for the calculated total energy is -3.588 eV/atom. The calculation puts the formation energy at 0.062 eV per atom. The value obtained for the density of states at the Fermi level is 1.80 states/eV per cell. The calculation puts the volume at 18.90 Å³ per atom. As for the space group: P-1 (2).

(11)
Cu2AgSn2: relaxed, PBE-GGA.

POSCAR file:
```
Cu2AgSn2
1.0
7.794 0.000 0.000
0.000 7.794 0.000
0.000 0.000 3.214
Cu Ag Sn
4 2 4
Direct
0.115 0.385 0.000
0.385 0.885 0.000
0.615 0.115 0.000
0.885 0.615 0.000
0.000 0.000 0.500
0.500 0.500 0.500
0.178 0.678 0.500
0.322 0.178 0.500
0.678 0.822 0.500
0.822 0.322 0.500
```

## Properties
The value obtained for the calculated total energy is -3.626 eV/atom. The calculation puts the formation energy at 0.184 eV per atom. The value obtained for the density of states at the Fermi level is 3.15 states/eV per cell. The calculation puts the volume at 19.52 Å³ per atom. As for the space group: P4/mbm (127).

(12)
CuAgSn: relaxed, PBE-GGA.

POSCAR file:
```
CuAgSn
1.0
3.486 0.000 0.000
0.027 3.710 0.000
0.022 0.081 8.524
Cu Ag Sn
2 2 2
Direct
0.245 0.243 0.423
0.755 0.757 0.577
0.249 0.248 0.086
0.751 0.752 0.914
0.253 0.256 0.731
0.747 0.744 0.269
```

## Properties
The value obtained for the calculated total energy is -3.571 eV/atom. The calculation puts the formation energy at 0.079 eV per atom. The value obtained for the density of states at the Fermi level is 1.42 states/eV per cell. The calculation puts the volume at 18.37 Å³ per atom. As for the space group: P-1 (2).